Computed, not measured: a geometry-optimized Mn3CrFe2Ge3 structure at the PBE level of DFT.

extended XYZ file:
```
9
Lattice="6.828 0.000 0.000 -3.414 5.914 0.000 0.000 0.000 2.824" Properties=species:S:1:pos:R:3 pbc="T T T"
Mn -2.416 4.185 0.000
Mn 0.998 1.729 0.000
Mn 4.832 0.000 0.000
Cr 0.000 0.000 1.412
Fe 0.000 3.942 0.000
Fe 3.414 1.971 0.000
Ge -1.284 2.224 1.412
Ge 2.568 0.000 1.412
Ge 2.130 3.690 1.412
```

Properties
ΔE_f	0.09	eV/atom